This record from the Alexandria database describes a geometry-optimized LiTbY2 structure. The functional is PBE-GGA.

Results
energy of formation from the pure elements: 0.6 eV per formula unit
density: 4.812 g/cm³
relative energy among the computed polymorphs: 0.096 eV/atom
space-group type: No. 123

Structure (extended XYZ):
```
4
Lattice="-0.6649 3.4296 1.3380 -2.6306 -2.2439 4.4442 4.8769 -0.1510 2.8105" Properties=species:S:1:pos:R:3 pbc="T T T"
Y 2.4385 -0.0755 1.4052
Y -1.3153 -1.1219 2.2221
Tb -0.3325 1.7148 0.6690
Li 0.7907 0.5174 4.2964
```